Record 1
This record from the Alexandria database describes crystalline Cs2LiNbI6 at its relaxed geometry. The functional is GGA-PBE.

Output
Energy relative to the elements, uncorrected: -0.99 eV/atom

abc: 8.345 8.345 8.345
angles: 119.98 119.98 90.04
Fractional coordinates of all 10 atoms:
Cs 0.250 0.750 0.500
Cs 0.750 0.250 0.500
Li 0.000 0.000 0.000
Nb 0.500 0.500 0.000
I 0.256 0.256 0.000
I 0.256 0.256 0.513
I 0.256 0.744 0.000
I 0.744 0.256 0.000
I 0.744 0.744 0.000
I 0.744 0.744 0.487

***

Record 2
This record from the Alexandria database describes crystalline La4Dy3ErS8 at its relaxed geometry. The functional is GGA-PBE.

Output
Energy relative to the elements, uncorrected: -2.08 eV/atom

abc: 8.119 8.119 8.119
angles: 58.89 58.89 58.89
Fractional coordinates of all 16 atoms:
La 0.000 0.000 0.000
La 0.000 0.500 0.500
La 0.500 0.000 0.500
La 0.500 0.500 0.000
Dy 0.000 0.000 0.500
Dy 0.000 0.500 0.000
Dy 0.500 0.000 0.000
Er 0.500 0.500 0.500
S 0.243 0.243 0.243
S 0.245 0.742 0.742
S 0.258 0.258 0.755
S 0.258 0.755 0.258
S 0.742 0.245 0.742
S 0.742 0.742 0.245
S 0.755 0.258 0.258
S 0.757 0.757 0.757

***

Record 3
This record from the Alexandria database describes crystalline LiV2Ni7 at its relaxed geometry. The functional is GGA-PBE.

Output
Energy relative to the elements: 513 meV per atom

abc: 7.008 7.008 3.664
angles: 90.00 90.00 128.18
Fractional coordinates of all 10 atoms:
Li 0.000 0.000 0.000
V 0.297 0.703 0.500
V 0.703 0.297 0.500
Ni 0.088 0.294 0.500
Ni 0.192 0.808 0.000
Ni 0.294 0.088 0.500
Ni 0.500 0.500 0.500
Ni 0.706 0.912 0.500
Ni 0.808 0.192 0.000
Ni 0.912 0.706 0.500

***

Record 4
This record from the Alexandria database describes crystalline AsPtBr at its relaxed geometry. The functional is GGA-PBE.

Output
Energy relative to the elements, uncorrected: -0.29 eV/atom

abc: 3.648 3.648 6.862
angles: 90.00 90.00 120.00
Fractional coordinates of all 3 atoms:
As 0.000 0.000 0.000
Pt 0.333 0.667 0.807
Br 0.667 0.333 0.557

***

Record 5
This record from the Alexandria database describes crystalline SnPb2F at its relaxed geometry. The functional is GGA-PBE.

Output
Energy relative to the elements, uncorrected: -0.55 eV/atom

abc: 8.651 8.651 8.651
angles: 141.26 141.26 55.94
Fractional coordinates of all 8 atoms:
Sn 0.000 0.000 0.000
Sn 0.750 0.250 0.500
Pb 0.215 0.625 0.090
Pb 0.375 0.465 0.590
Pb 0.535 0.125 0.910
Pb 0.875 0.785 0.410
F 0.250 0.750 0.500
F 0.500 0.500 0.000

***

Record 6
This record from the Alexandria database describes crystalline KGa3Tc at its relaxed geometry. The functional is GGA-PBE.

Output
Energy relative to the elements: 60 meV per atom

abc: 7.107 7.107 7.107
angles: 122.57 120.42 87.44
Fractional coordinates of all 10 atoms:
K 0.000 0.000 0.000
K 0.500 0.000 0.500
Ga 0.000 0.000 0.500
Ga 0.000 0.500 0.000
Ga 0.231 0.652 0.579
Ga 0.427 0.348 0.079
Ga 0.573 0.652 0.921
Ga 0.769 0.348 0.421
Tc 0.169 0.419 0.750
Tc 0.831 0.581 0.250

***

Record 7
This record from the Alexandria database describes crystalline SrCd2Os at its relaxed geometry. The functional is GGA-PBE.

Output
Energy relative to the elements: 403 meV per atom

abc: 6.256 6.256 5.203
angles: 114.50 114.50 30.90
Fractional coordinates of all 4 atoms:
Sr 0.000 0.000 0.000
Cd 0.206 0.206 0.706
Cd 0.794 0.794 0.294
Os 0.500 0.500 0.500

***

Record 8
This record from the Alexandria database describes crystalline PmTh2Sb4 at its relaxed geometry. The functional is GGA-PBE.

Output
Energy relative to the elements, uncorrected: -0.93 eV/atom

abc: 8.168 8.168 8.168
angles: 109.68 109.68 109.06
Fractional coordinates of all 14 atoms:
Pm 0.000 0.000 0.000
Pm 0.750 0.250 0.500
Th 0.251 0.625 0.126
Th 0.375 0.501 0.626
Th 0.499 0.125 0.874
Th 0.875 0.749 0.374
Sb 0.124 0.215 0.747
Sb 0.127 0.718 0.753
Sb 0.282 0.035 0.410
Sb 0.468 0.377 0.253
Sb 0.623 0.876 0.090
Sb 0.626 0.873 0.590
Sb 0.785 0.532 0.910
Sb 0.965 0.374 0.247

***

Record 9
This record from the Alexandria database describes crystalline Ba4UTi3O12 at its relaxed geometry. The functional is GGA-PBE.

Output
Energy relative to the elements, uncorrected: -3.06 eV/atom

abc: 7.164 7.164 7.164
angles: 109.47 109.47 109.47
Fractional coordinates of all 20 atoms:
Ba 0.000 0.000 0.500
Ba 0.000 0.500 0.000
Ba 0.500 0.000 0.000
Ba 0.500 0.500 0.500
U 0.000 0.000 0.000
Ti 0.000 0.500 0.500
Ti 0.500 0.000 0.500
Ti 0.500 0.500 0.000
O 0.000 0.259 0.259
O 0.000 0.741 0.741
O 0.250 0.500 0.750
O 0.250 0.750 0.500
O 0.259 0.000 0.259
O 0.259 0.259 0.000
O 0.500 0.250 0.750
O 0.500 0.750 0.250
O 0.741 0.000 0.741
O 0.741 0.741 0.000
O 0.750 0.250 0.500
O 0.750 0.500 0.250

***

Record 10
This record from the Alexandria database describes crystalline BiPCl at its relaxed geometry. The functional is GGA-PBE.

Output
Energy relative to the elements, uncorrected: -0.32 eV/atom

abc: 4.006 5.403 8.763
angles: 89.37 79.76 68.46
Fractional coordinates of all 6 atoms:
Bi 0.000 0.000 0.000
Bi 0.421 0.496 0.555
P 0.545 0.071 0.792
P 0.773 0.634 0.758
Cl 0.215 0.994 0.446
Cl 0.704 0.453 0.156